1.
DFT (PBE) results for SrCd4 after structural relaxation.

```
data_SrCd4
_cell_length_a 6.913
_cell_length_b 6.913
_cell_length_c 6.913
_cell_angle_alpha 140.48
_cell_angle_beta 140.48
_cell_angle_gamma 57.13
_space_group_name_H-M_alt 'P 1'
_space_group_IT_number 1
loop_
_space_group_symop_operation_xyz
'x,y,z'
loop_
_atom_site_label
_atom_site_type_symbol
_atom_site_fract_x
_atom_site_fract_y
_atom_site_fract_z
Cd1 Cd 0.250 0.750 0.500
Cd2 Cd 0.612 0.612 0.000
Cd3 Cd 0.750 0.250 0.500
Cd4 Cd 0.388 0.388 0.000
Sr1 Sr 0.000 0.000 0.000
```

VASP energy, Ry per atom: -0.095



2.
DFT (PBE) results for Sr2Cd after structural relaxation.

```
data_Sr2Cd
_cell_length_a 7.707
_cell_length_b 5.628
_cell_length_c 10.626
_cell_angle_alpha 90.00
_cell_angle_beta 90.00
_cell_angle_gamma 90.00
_space_group_name_H-M_alt 'P 1'
_space_group_IT_number 1
loop_
_space_group_symop_operation_xyz
'x,y,z'
loop_
_atom_site_label
_atom_site_type_symbol
_atom_site_fract_x
_atom_site_fract_y
_atom_site_fract_z
Cd1 Cd 0.219 0.750 0.889
Cd2 Cd 0.719 0.750 0.611
Cd3 Cd 0.281 0.250 0.389
Cd4 Cd 0.781 0.250 0.111
Sr1 Sr 0.836 0.250 0.432
Sr2 Sr 0.164 0.750 0.568
Sr3 Sr 0.033 0.750 0.193
Sr4 Sr 0.664 0.750 0.932
Sr5 Sr 0.533 0.750 0.307
Sr6 Sr 0.336 0.250 0.068
Sr7 Sr 0.967 0.250 0.807
Sr8 Sr 0.467 0.250 0.693
```

VASP energy, Ry per atom: -0.120



3.
DFT (PBE) results for SrTbCd after structural relaxation.

```
data_SrTbCd
_cell_length_a 5.374
_cell_length_b 5.374
_cell_length_c 5.374
_cell_angle_alpha 60.00
_cell_angle_beta 60.00
_cell_angle_gamma 60.00
_space_group_name_H-M_alt 'P 1'
_space_group_IT_number 1
loop_
_space_group_symop_operation_xyz
'x,y,z'
loop_
_atom_site_label
_atom_site_type_symbol
_atom_site_fract_x
_atom_site_fract_y
_atom_site_fract_z
Sr1 Sr 0.250 0.250 0.250
Tb1 Tb 0.750 0.750 0.750
Cd1 Cd 0.000 0.000 0.000
```

VASP energy, Ry per atom: -0.169



4.
DFT (PBE) results for SrCd2Te4 after structural relaxation.

```
data_SrCd2Te4
_cell_length_a 10.560
_cell_length_b 7.719
_cell_length_c 11.662
_cell_angle_alpha 90.00
_cell_angle_beta 90.00
_cell_angle_gamma 90.00
_space_group_name_H-M_alt 'P 1'
_space_group_IT_number 1
loop_
_space_group_symop_operation_xyz
'x,y,z'
loop_
_atom_site_label
_atom_site_type_symbol
_atom_site_fract_x
_atom_site_fract_y
_atom_site_fract_z
Cd1 Cd 0.080 0.750 0.500
Cd2 Cd 0.420 0.250 0.000
Cd3 Cd 0.920 0.250 0.500
Cd4 Cd 0.404 0.750 0.277
Cd5 Cd 0.580 0.750 0.000
Cd6 Cd 0.096 0.250 0.777
Cd7 Cd 0.904 0.750 0.223
Cd8 Cd 0.596 0.250 0.723
Te1 Te 0.434 0.535 0.820
Te2 Te 0.648 0.250 0.490
Te3 Te 0.685 0.750 0.354
Te4 Te 0.566 0.035 0.180
Te5 Te 0.352 0.750 0.510
Te6 Te 0.185 0.750 0.146
Te7 Te 0.066 0.035 0.320
Te8 Te 0.315 0.250 0.646
Te9 Te 0.434 0.965 0.820
Te10 Te 0.566 0.465 0.180
Te11 Te 0.934 0.965 0.680
Te12 Te 0.148 0.250 0.010
Te13 Te 0.066 0.465 0.320
Te14 Te 0.852 0.750 0.990
Te15 Te 0.815 0.250 0.854
Te16 Te 0.934 0.535 0.680
Sr1 Sr 0.639 0.750 0.635
Sr2 Sr 0.139 0.750 0.865
Sr3 Sr 0.861 0.250 0.135
Sr4 Sr 0.361 0.250 0.365
```

VASP energy, Ry per atom: -0.205



5.
DFT (PBE) results for SrCd2Te3 after structural relaxation.

```
data_SrCd2Te3
_cell_length_a 7.740
_cell_length_b 7.740
_cell_length_c 11.471
_cell_angle_alpha 90.00
_cell_angle_beta 90.00
_cell_angle_gamma 146.79
_space_group_name_H-M_alt 'P 1'
_space_group_IT_number 1
loop_
_space_group_symop_operation_xyz
'x,y,z'
loop_
_atom_site_label
_atom_site_type_symbol
_atom_site_fract_x
_atom_site_fract_y
_atom_site_fract_z
Cd1 Cd 0.000 0.000 0.500
Cd2 Cd 0.473 0.527 0.750
Cd3 Cd 0.000 0.000 0.000
Cd4 Cd 0.527 0.473 0.250
Sr1 Sr 0.236 0.764 0.250
Sr2 Sr 0.764 0.236 0.750
Te1 Te 0.359 0.641 0.553
Te2 Te 0.641 0.359 0.053
Te3 Te 0.093 0.907 0.750
Te4 Te 0.359 0.641 0.947
Te5 Te 0.907 0.093 0.250
Te6 Te 0.641 0.359 0.447
```

VASP energy, Ry per atom: -0.211



6.
DFT (PBE) results for SrTmCdTe3 after structural relaxation.

```
data_SrTmCdTe3
_cell_length_a 8.002
_cell_length_b 8.002
_cell_length_c 11.144
_cell_angle_alpha 90.00
_cell_angle_beta 90.00
_cell_angle_gamma 148.41
_space_group_name_H-M_alt 'P 1'
_space_group_IT_number 1
loop_
_space_group_symop_operation_xyz
'x,y,z'
loop_
_atom_site_label
_atom_site_type_symbol
_atom_site_fract_x
_atom_site_fract_y
_atom_site_fract_z
Tm1 Tm 0.500 0.500 0.000
Tm2 Tm 0.500 0.500 0.500
Te1 Te 0.859 0.141 0.955
Te2 Te 0.401 0.599 0.250
Te3 Te 0.599 0.401 0.750
Te4 Te 0.141 0.859 0.455
Te5 Te 0.859 0.141 0.545
Te6 Te 0.141 0.859 0.045
Sr1 Sr 0.729 0.271 0.250
Sr2 Sr 0.271 0.729 0.750
Cd1 Cd 0.974 0.026 0.750
Cd2 Cd 0.026 0.974 0.250
```

VASP energy, Ry per atom: -0.277